VASP calculation (PBE-GGA) on a geometry-optimized LiTeOsN2 structure.

Cell and atoms, written as POSCAR:
```
LiTeOsN2
1.0
3.8150 0.0000 0.0000
0.0000 3.8150 0.0000
0.0000 0.0000 5.8247
Li Te Os N
1 1 1 2
direct
0.0000 0.0000 0.0000 Li
0.5000 0.5000 0.0000 Te
0.5000 0.5000 0.5000 Os
0.0000 0.5000 0.5000 N
0.5000 0.0000 0.5000 N
```

energy relative to the elements, uncorrected: 0.310 eV/atom
space-group type: P4/mmm
total energy: -31.39 eV per cell
offset from the most stable computed form: 0.0000 eV per atom

***

VASP calculation (PBE-GGA) on a geometry-optimized Li2ThOsN4 structure.

Cell and atoms, written as POSCAR:
```
Li2ThOsN4
1.0
1.7065 -6.0982 0.0000
1.7065 6.0982 0.0000
0.0000 0.0000 9.5862
Li Th Os N
4 2 2 8
direct
0.0936 0.9064 0.5367 Li
0.0936 0.9064 0.9633 Li
0.9064 0.0936 0.0367 Li
0.9064 0.0936 0.4633 Li
0.4525 0.5475 0.7500 Th
0.5475 0.4525 0.2500 Th
0.2898 0.7102 0.2500 Os
0.7102 0.2898 0.7500 Os
0.1139 0.8861 0.7500 N
0.1995 0.8005 0.1078 N
0.1995 0.8005 0.3922 N
0.5000 0.5000 0.0000 N
0.5000 0.5000 0.5000 N
0.8005 0.1995 0.6078 N
0.8005 0.1995 0.8922 N
0.8861 0.1139 0.2500 N
```

energy relative to the elements, uncorrected: -0.291 eV/atom
space-group type: Cmcm
total energy: -116.22 eV per cell

***

VASP calculation (PBE-GGA) on a geometry-optimized Li2TlOsN structure.

Cell and atoms, written as POSCAR:
```
Li2TlOsN
1.0
4.2691 0.0000 0.0000
0.0000 4.2691 0.0000
0.0000 0.0000 3.8313
Li Tl Os N
2 1 1 1
direct
0.0000 0.5000 0.0000 Li
0.5000 0.0000 0.0000 Li
0.0000 0.0000 0.5000 Tl
0.5000 0.5000 0.5000 Os
0.5000 0.5000 0.0000 N
```

energy relative to the elements, uncorrected: -0.112 eV/atom
space-group type: P4/mmm
total energy: -26.31 eV per cell

***

VASP calculation (PBE-GGA) on a geometry-optimized Li2UOsN4 structure.

Cell and atoms, written as POSCAR:
```
Li2UOsN4
1.0
1.6380 -5.8338 0.0000
1.6380 5.8338 0.0000
0.0000 0.0000 9.3847
Li U Os N
4 2 2 8
direct
0.0945 0.9055 0.5395 Li
0.0945 0.9055 0.9605 Li
0.9055 0.0945 0.0395 Li
0.9055 0.0945 0.4605 Li
0.4377 0.5623 0.7500 U
0.5623 0.4377 0.2500 U
0.2994 0.7006 0.2500 Os
0.7006 0.2994 0.7500 Os
0.0977 0.9023 0.7500 N
0.1805 0.8195 0.1229 N
0.1805 0.8195 0.3771 N
0.5000 0.5000 0.0000 N
0.5000 0.5000 0.5000 N
0.8195 0.1805 0.6229 N
0.8195 0.1805 0.8771 N
0.9023 0.0977 0.2500 N
```

energy relative to the elements, uncorrected: -0.212 eV/atom
space-group type: Cmcm
total energy: -122.69 eV per cell

***

VASP calculation (PBE-GGA) on a geometry-optimized LiOsWN2 structure.

Cell and atoms, written as POSCAR:
```
LiOsWN2
1.0
3.7598 0.0000 0.0000
0.0000 3.7598 0.0000
0.0000 0.0000 3.8978
Li Os W N
1 1 1 2
direct
0.0000 0.0000 0.0000 Li
0.0000 0.0000 0.5000 Os
0.5000 0.5000 0.5000 W
0.0000 0.5000 0.0000 N
0.5000 0.0000 0.0000 N
```

energy relative to the elements, uncorrected: 2.112 eV/atom
space-group type: P4/mmm
total energy: -32.19 eV per cell

***

VASP calculation (PBE-GGA) on a geometry-optimized Li2ZnOsN structure.

Cell and atoms, written as POSCAR:
```
Li2ZnOsN
1.0
3.9819 0.0000 0.0000
0.0000 3.9819 0.0000
0.0000 0.0000 3.8463
Li Zn Os N
2 1 1 1
direct
0.0000 0.5000 0.0000 Li
0.5000 0.0000 0.0000 Li
0.0000 0.0000 0.5000 Zn
0.5000 0.5000 0.5000 Os
0.5000 0.5000 0.0000 N
```

energy relative to the elements, uncorrected: -0.149 eV/atom
space-group type: P4/mmm
total energy: -25.40 eV per cell

***

VASP calculation (PBE-GGA) on a geometry-optimized LiZr2OsN structure.

Cell and atoms, written as POSCAR:
```
LiZr2OsN
1.0
4.5148 0.0000 0.0000
0.0000 4.5148 0.0000
0.0000 0.0000 3.6671
Li Zr Os N
1 2 1 1
direct
0.0000 0.0000 0.0000 Li
0.0000 0.5000 0.5000 Zr
0.5000 0.0000 0.5000 Zr
0.5000 0.5000 0.0000 Os
0.0000 0.0000 0.5000 N
```

energy relative to the elements, uncorrected: -0.639 eV/atom
space-group type: P4/mmm
total energy: -41.76 eV per cell

***

VASP calculation (PBE-GGA) on a geometry-optimized Li2PN structure.

Cell and atoms, written as POSCAR:
```
Li2PN
1.0
-4.0741 4.0741 1.8480
4.0741 -4.0741 1.8480
4.0741 4.0741 -1.8480
Li P N
4 2 2
direct
0.3750 0.1569 0.2819 Li
0.8431 0.1250 0.2181 Li
0.8750 0.0931 0.7181 Li
0.9069 0.6250 0.7819 Li
0.2500 0.7500 0.5000 P
0.5000 0.5000 0.0000 P
0.0000 0.0000 0.0000 N
0.7500 0.2500 0.5000 N
```

energy relative to the elements, uncorrected: -0.044 eV/atom
space-group type: I-42d
total energy: -35.48 eV per cell
offset from the most stable computed form: 0.0000 eV per atom

***

VASP calculation (PBE-GGA) on a geometry-optimized LiPN2 structure.

Cell and atoms, written as POSCAR:
```
LiPN2
1.0
2.9248 0.0000 0.0000
-1.4624 2.5330 0.0000
0.0000 0.0000 5.3883
Li P N
1 1 2
direct
0.0000 0.0000 0.0000 Li
0.6667 0.3333 0.5532 P
0.0000 0.0000 0.4026 N
0.6667 0.3333 0.8315 N
```

energy relative to the elements, uncorrected: -0.171 eV/atom
space-group type: P3m1
total energy: -24.66 eV per cell

***

VASP calculation (PBE-GGA) on a geometry-optimized LiPN2 structure.

Cell and atoms, written as POSCAR:
```
LiPN2
1.0
4.7713 -1.4175 0.0000
4.7713 1.4175 0.0000
-0.7217 0.0000 5.7447
Li P N
2 2 4
direct
0.0000 0.0000 0.0000 Li
0.2481 0.2481 0.7699 Li
0.4978 0.4978 0.5376 P
0.7480 0.7480 0.2838 P
0.2177 0.2177 0.1325 N
0.4563 0.4563 0.7834 N
0.6666 0.6666 0.5141 N
0.9271 0.9271 0.3642 N
```

energy relative to the elements, uncorrected: -0.555 eV/atom
space-group type: Cm
total energy: -52.39 eV per cell

***

VASP calculation (PBE-GGA) on a geometry-optimized Li6PN4 structure.

Cell and atoms, written as POSCAR:
```
Li6PN4
1.0
6.3587 0.0000 0.0000
0.0000 6.3587 0.0000
0.0000 0.0000 4.9234
Li P N
12 2 8
direct
0.0414 0.5414 0.2500 Li
0.0414 0.9586 0.2500 Li
0.2500 0.2500 0.1141 Li
0.2500 0.2500 0.6141 Li
0.4586 0.5414 0.2500 Li
0.4586 0.9586 0.2500 Li
0.5414 0.0414 0.7500 Li
0.5414 0.4586 0.7500 Li
0.7500 0.7500 0.3859 Li
0.7500 0.7500 0.8859 Li
0.9586 0.0414 0.7500 Li
0.9586 0.4586 0.7500 Li
0.2500 0.7500 0.7500 P
0.7500 0.2500 0.2500 P
0.0271 0.7500 0.5713 N
0.2500 0.5271 0.9287 N
0.2500 0.9729 0.9287 N
0.4729 0.7500 0.5713 N
0.5271 0.2500 0.4287 N
0.7500 0.0271 0.0713 N
0.7500 0.4729 0.0713 N
0.9729 0.2500 0.4287 N
```

energy relative to the elements, uncorrected: -0.628 eV/atom
space-group type: P4_2/nmc
total energy: -114.20 eV per cell

***

VASP calculation (PBE-GGA) on a geometry-optimized Li7PN4 structure.

Cell and atoms, written as POSCAR:
```
Li7PN4
1.0
9.4008 0.0000 0.0000
0.0000 9.4008 0.0000
0.0000 0.0000 9.4008
Li P N
56 8 32
direct
0.0000 0.0000 0.2642 Li
0.0000 0.0000 0.5000 Li
0.0000 0.0000 0.7358 Li
0.0000 0.2500 0.5000 Li
0.0000 0.2642 0.0000 Li
0.0000 0.5000 0.0000 Li
0.0000 0.5000 0.5000 Li
0.0000 0.7358 0.0000 Li
0.0000 0.7500 0.5000 Li
0.0248 0.2371 0.7468 Li
0.0248 0.7629 0.2532 Li
0.2253 0.2253 0.2253 Li
0.2253 0.7747 0.7747 Li
0.2358 0.5000 0.5000 Li
0.2371 0.2532 0.9752 Li
0.2371 0.7468 0.0248 Li
0.2468 0.2629 0.4752 Li
0.2468 0.7371 0.5248 Li
0.2500 0.5000 0.0000 Li
0.2532 0.0248 0.7629 Li
0.2532 0.9752 0.2371 Li
0.2629 0.4752 0.2468 Li
0.2629 0.5248 0.7532 Li
0.2642 0.0000 0.0000 Li
0.2747 0.2747 0.7253 Li
0.2747 0.7253 0.2747 Li
0.4752 0.2468 0.2629 Li
0.4752 0.7532 0.7371 Li
0.5000 0.0000 0.0000 Li
0.5000 0.0000 0.2500 Li
0.5000 0.0000 0.5000 Li
0.5000 0.0000 0.7500 Li
0.5000 0.2358 0.5000 Li
0.5000 0.5000 0.0000 Li
0.5000 0.5000 0.2358 Li
0.5000 0.5000 0.7642 Li
0.5000 0.7642 0.5000 Li
0.5248 0.2468 0.7371 Li
0.5248 0.7532 0.2629 Li
0.7253 0.2747 0.2747 Li
0.7253 0.7253 0.7253 Li
0.7358 0.0000 0.0000 Li
0.7371 0.4752 0.7532 Li
0.7371 0.5248 0.2468 Li
0.7468 0.0248 0.2371 Li
0.7468 0.9752 0.7629 Li
0.7500 0.5000 0.0000 Li
0.7532 0.2629 0.5248 Li
0.7532 0.7371 0.4752 Li
0.7629 0.2532 0.0248 Li
0.7629 0.7468 0.9752 Li
0.7642 0.5000 0.5000 Li
0.7747 0.2253 0.7747 Li
0.7747 0.7747 0.2253 Li
0.9752 0.2371 0.2532 Li
0.9752 0.7629 0.7468 Li
0.0000 0.0000 0.0000 P
0.0000 0.5000 0.2500 P
0.0000 0.5000 0.7500 P
0.2500 0.0000 0.5000 P
0.5000 0.2500 0.0000 P
0.5000 0.5000 0.5000 P
0.5000 0.7500 0.0000 P
0.7500 0.0000 0.5000 P
0.0994 0.3874 0.3508 N
0.0994 0.6126 0.6492 N
0.1035 0.1035 0.1035 N
0.1035 0.8965 0.8965 N
0.1126 0.4006 0.8508 N
0.1126 0.5994 0.1492 N
0.1492 0.1126 0.5994 N
0.1492 0.8874 0.4006 N
0.3508 0.0994 0.3874 N
0.3508 0.9006 0.6126 N
0.3874 0.3508 0.0994 N
0.3874 0.6492 0.9006 N
0.3965 0.3965 0.6035 N
0.3965 0.6035 0.3965 N
0.4006 0.1492 0.8874 N
0.4006 0.8508 0.1126 N
0.5994 0.1492 0.1126 N
0.5994 0.8508 0.8874 N
0.6035 0.3965 0.3965 N
0.6035 0.6035 0.6035 N
0.6126 0.3508 0.9006 N
0.6126 0.6492 0.0994 N
0.6492 0.0994 0.6126 N
0.6492 0.9006 0.3874 N
0.8508 0.1126 0.4006 N
0.8508 0.8874 0.5994 N
0.8874 0.4006 0.1492 N
0.8874 0.5994 0.8508 N
0.8965 0.1035 0.8965 N
0.8965 0.8965 0.1035 N
0.9006 0.3874 0.6492 N
0.9006 0.6126 0.3508 N
```

energy relative to the elements, uncorrected: -0.714 eV/atom
space-group type: P-43n
total energy: -485.45 eV per cell